A crystal of AlSn2HgBr relaxed with PBEsol. Source: the Alexandria database, functional SCAN.

Output
DFT total energy = -33.270 eV/atom

a = 5.3011 Å, b = 5.3011 Å, c = 5.1478 Å
α = 90.00°, β = 90.00°, γ = 90.00°
Space group P4/mmm (No. 123)
Unique sites:
Al 0.0000 0.0000 0.0000 (multiplicity 1)
Sn 0.0000 0.5000 0.0000 (multiplicity 2)
Hg 0.0000 0.0000 0.5000 (multiplicity 1)
Br 0.5000 0.5000 0.5000 (multiplicity 1)

***

A crystal of CdNiRu2 relaxed with PBEsol. Source: the Alexandria database, functional SCAN.

Output
DFT total energy = -28.564 eV/atom
ΔE_f = 0.496 eV/atom

a = 5.2000 Å, b = 9.2028 Å, c = 2.6491 Å
α = 90.00°, β = 116.87°, γ = 90.00°
Space group C2/m (No. 12)
Unique sites:
Cd 0.0000 0.0000 0.0000 (multiplicity 2)
Ni 0.0000 0.5000 0.0000 (multiplicity 2)
Ru 0.2500 0.2500 0.5000 (multiplicity 4)

***

A crystal of Dy2IrRu relaxed with PBEsol. Source: the Alexandria database, functional SCAN.

Output
DFT total energy = -51.140 eV/atom
ΔE_f = -0.760 eV/atom

a = 6.7082 Å, b = 6.7082 Å, c = 6.7082 Å
α = 90.00°, β = 90.00°, γ = 90.00°
Space group Fm-3m (No. 225)
Unique sites:
Dy 0.2500 0.2500 0.2500 (multiplicity 8)
Ir 0.0000 0.0000 0.0000 (multiplicity 4)
Ru 0.0000 0.0000 0.5000 (multiplicity 4)

***

A crystal of CaMnB3 relaxed with PBEsol. Source: the Alexandria database, functional SCAN.

Output
DFT total energy = -9.941 eV/atom
ΔE_f = 0.100 eV/atom

a = 3.8579 Å, b = 3.8579 Å, c = 3.8579 Å
α = 90.00°, β = 90.00°, γ = 90.00°
Space group Pm-3m (No. 221)
Unique sites:
Ca 0.0000 0.0000 0.0000 (multiplicity 1)
Mn 0.5000 0.5000 0.5000 (multiplicity 1)
B 0.0000 0.5000 0.5000 (multiplicity 3)

***

A crystal of Li2PbSe relaxed with PBEsol. Source: the Alexandria database, functional SCAN.

Output
DFT total energy = -25.888 eV/atom

a = 3.5509 Å, b = 3.5509 Å, c = 6.1965 Å
α = 90.00°, β = 90.00°, γ = 90.00°
Space group P4/mmm (No. 123)
Unique sites:
Li 0.0000 0.0000 0.1941 (multiplicity 2)
Pb 0.5000 0.5000 0.5000 (multiplicity 1)
Se 0.5000 0.5000 0.0000 (multiplicity 1)

***

A crystal of LaMnCu2Se relaxed with PBEsol. Source: the Alexandria database, functional SCAN.

Output
DFT total energy = -21.640 eV/atom

a = 5.1292 Å, b = 5.1292 Å, c = 5.5262 Å
α = 90.00°, β = 90.00°, γ = 90.00°
Space group P4/mmm (No. 123)
Unique sites:
La 0.0000 0.0000 0.0000 (multiplicity 1)
Mn 0.5000 0.5000 0.5000 (multiplicity 1)
Cu 0.0000 0.5000 0.0000 (multiplicity 2)
Se 0.0000 0.0000 0.5000 (multiplicity 1)

***

A crystal of FeBr3 relaxed with PBEsol. Source: the Alexandria database, functional SCAN.

Output
DFT total energy = -19.635 eV/atom

a = 10.5485 Å, b = 13.1522 Å, c = 3.2566 Å
α = 90.00°, β = 90.00°, γ = 90.00°
Space group Cmcm (No. 63)
Unique sites:
Fe 0.0000 0.2097 0.2500 (multiplicity 4)
Br 0.0000 0.3575 0.7500 (multiplicity 4)
Br 0.1586 0.1354 0.7500 (multiplicity 8)

***

A crystal of BeSi3Ni relaxed with PBEsol. Source: the Alexandria database, functional SCAN.

Output
DFT total energy = -9.113 eV/atom

a = 4.1253 Å, b = 4.1253 Å, c = 4.1253 Å
α = 90.00°, β = 90.00°, γ = 90.00°
Space group Pm-3m (No. 221)
Unique sites:
Be 0.0000 0.0000 0.0000 (multiplicity 1)
Si 0.0000 0.0000 0.5000 (multiplicity 3)
Ni 0.5000 0.5000 0.5000 (multiplicity 1)